one) DFT (PBE-GGA) results for CaCr3Cl after structural relaxation.

```
CaCr3Cl
1.0
4.446 0.000 0.000
0.000 4.446 0.000
0.000 0.000 4.446
Cr Ca Cl
3 1 1
direct
0.000 0.000 0.500 Cr
0.000 0.500 0.000 Cr
0.500 0.000 0.000 Cr
0.500 0.500 0.500 Ca
0.000 0.000 0.000 Cl
```

Results
N(E_F) = 5.5 states/eV/cell
calculated volume = 88 Å³/cell
symmetry = Pm-3m


two) DFT (PBE-GGA) results for CaCr3Cl after structural relaxation.

```
CaCr3Cl
1.0
5.699 0.000 0.000
0.000 5.699 0.000
0.000 0.000 5.699
Ca Cr Cl
1 3 1
direct
0.000 0.000 0.000 Ca
0.000 0.000 0.500 Cr
0.000 0.500 0.000 Cr
0.500 0.000 0.000 Cr
0.500 0.500 0.500 Cl
```

Results
N(E_F) = 3.9 states/eV/cell
calculated volume = 185 Å³/cell
symmetry = Pm-3m


Which one is most stable, and which one is least stable? one) is the most stable of them, while two) is the least stable.


one) DFT (PBE-GGA) results for CaCrPCl2 after structural relaxation.

```
CaCrPCl2
1.0
5.106 0.000 0.000
0.000 5.106 0.000
0.000 0.000 5.852
P Cr Cl Ca
1 1 2 1
direct
0.000 0.000 0.500 P
0.500 0.500 0.500 Cr
0.500 0.000 0.000 Cl
0.000 0.500 0.000 Cl
0.000 0.000 0.000 Ca
```

Results
N(E_F) = 3.5 states/eV/cell
calculated volume = 153 Å³/cell
symmetry = P4/mmm


two) DFT (PBE-GGA) results for CaCrPCl2 after structural relaxation.

```
CaCrPCl2
1.0
-0.905 -0.340 4.698
-4.625 -0.845 -0.952
0.896 -4.717 -0.169
P Ca Cr Cl
1 1 1 2
direct
0.000 0.000 0.500 P
0.500 0.500 0.500 Ca
0.000 0.000 0.000 Cr
0.000 0.500 0.000 Cl
0.500 0.000 0.000 Cl
```

Results
N(E_F) = 2.0 states/eV/cell
calculated volume = 111 Å³/cell
symmetry = P4/mmm


Which one is most stable, and which one is least stable? two) is the most stable of them, while one) is the least stable.


one) DFT (PBE-GGA) results for CaCrP2Cl after structural relaxation.

```
CaCrP2Cl
1.0
5.351 0.000 0.000
0.000 5.351 0.000
0.000 0.000 5.082
Cl P Ca Cr
1 2 1 1
direct
0.000 0.000 0.500 Cl
0.500 0.000 0.000 P
0.000 0.500 0.000 P
0.000 0.000 0.000 Ca
0.500 0.500 0.500 Cr
```

Results
N(E_F) = 4.1 states/eV/cell
calculated volume = 146 Å³/cell
symmetry = P4/mmm


two) DFT (PBE-GGA) results for CaCrP2Cl after structural relaxation.

```
CaCrP2Cl
1.0
4.399 0.000 0.000
0.000 4.399 0.000
0.000 0.000 5.192
Cl P Ca Cr
1 2 1 1
direct
0.000 0.000 0.500 Cl
0.500 0.000 0.000 P
0.000 0.500 0.000 P
0.500 0.500 0.500 Ca
0.000 0.000 0.000 Cr
```

Results
N(E_F) = 3.6 states/eV/cell
calculated volume = 100 Å³/cell
symmetry = P4/mmm


Which one is most stable, and which one is least stable? two) is the most stable of them, while one) is the least stable.


one) DFT (PBE-GGA) results for CsCaCl2 after structural relaxation.

```
CsCaCl2
1.0
-4.949 4.459 -2.920
-5.068 -2.701 4.464
-3.363 5.930 5.696
Cl Cs Ca
4 2 2
direct
0.375 0.501 0.750 Cl
0.499 0.125 0.250 Cl
0.251 0.625 0.250 Cl
0.875 0.749 0.750 Cl
0.750 0.250 0.500 Cs
0.000 0.000 0.000 Cs
0.500 0.500 0.000 Ca
0.250 0.750 0.500 Ca
```

Results
N(E_F) = 4.5 states/eV/cell
calculated volume = 383 Å³/cell
symmetry = I-42d


two) DFT (PBE-GGA) results for CsCaCl2 after structural relaxation.

```
CsCaCl2
1.0
2.824 0.000 9.187
-1.412 2.445 9.187
-1.412 -2.445 9.187
Cl Cs Ca
2 1 1
direct
0.094 0.094 0.094 Cl
0.906 0.906 0.906 Cl
0.500 0.500 0.500 Cs
0.000 0.000 0.000 Ca
```

Results
N(E_F) = 1.0 states/eV/cell
calculated volume = 190 Å³/cell
symmetry = R-3m


Which one is most stable, and which one is least stable? two) is the most stable of them, while one) is the least stable.


one) DFT (PBE-GGA) results for CsCaCl2 after structural relaxation.

```
CsCaCl2
1.0
-7.917 1.030 6.166
-4.525 2.532 8.653
-6.485 5.232 5.685
Cl Cs Ca
2 1 1
direct
0.123 0.123 0.123 Cl
0.877 0.877 0.877 Cl
0.000 0.000 0.000 Cs
0.500 0.500 0.500 Ca
```

Results
N(E_F) = 2.6 states/eV/cell
calculated volume = 168 Å³/cell
symmetry = R-3m


two) DFT (PBE-GGA) results for CsCaCl2 after structural relaxation.

```
CsCaCl2
1.0
2.916 -4.744 0.057
-2.542 -4.818 1.158
-0.759 -3.783 -4.015
Ca Cl Cs
1 2 1
direct
0.000 0.000 0.000 Ca
0.250 0.250 0.250 Cl
0.750 0.750 0.750 Cl
0.500 0.500 0.500 Cs
```

Results
N(E_F) = 2.9 states/eV/cell
calculated volume = 122 Å³/cell
symmetry = Fm-3m


Which one is most stable, and which one is least stable? one) is the most stable of them, while two) is the least stable.


one) DFT (PBE-GGA) results for CaCuCl after structural relaxation.

```
CaCuCl
1.0
3.966 0.000 0.000
-1.983 3.434 0.000
0.000 0.000 6.219
Cl Ca Cu
1 1 1
direct
0.333 0.667 0.264 Cl
0.000 0.000 0.018 Ca
0.667 0.333 0.718 Cu
```

Results
calculated volume = 85 Å³/cell
symmetry = P3m1


two) DFT (PBE-GGA) results for CaCuCl after structural relaxation.

```
CaCuCl
1.0
-1.243 -2.798 6.101
-3.424 -4.393 3.950
1.977 -2.830 0.080
Cl Cu Ca
1 1 1
direct
0.374 0.374 0.626 Cl
0.635 0.635 0.365 Cu
0.991 0.991 0.009 Ca
```

Results
N(E_F) = 0.4 states/eV/cell
calculated volume = 76 Å³/cell
symmetry = Fmm2


three) DFT (PBE-GGA) results for CaCuCl after structural relaxation.

```
CaCuCl
1.0
-3.467 -1.826 0.481
3.103 -1.047 2.191
-3.065 7.966 8.147
Cl Ca Cu
2 2 2
direct
0.334 0.667 0.815 Cl
0.334 0.667 0.185 Cl
0.666 0.332 0.656 Ca
0.666 0.332 0.344 Ca
0.332 0.663 0.500 Cu
0.336 0.671 0.000 Cu
```

Results
N(E_F) = 1.4 states/eV/cell
calculated volume = 159 Å³/cell
symmetry = Amm2


four) DFT (PBE-GGA) results for CaCuCl after structural relaxation.

```
CaCuCl
1.0
4.785 0.000 0.000
2.392 4.144 0.000
2.392 1.381 3.907
Cl Ca Cu
1 1 1
direct
0.250 0.250 0.250 Cl
0.500 0.500 0.500 Ca
0.000 0.000 0.000 Cu
```

Results
N(E_F) = 0.2 states/eV/cell
calculated volume = 77 Å³/cell
symmetry = F-43m


Which one is most stable, and which one is least stable? one) is the most stable of them, while four) is the least stable.


one) DFT (PBE-GGA) results for CaCu2Cl after structural relaxation.

```
CaCu2Cl
1.0
4.058 -0.032 -0.599
2.010 3.525 -0.599
0.908 0.522 6.236
Cl Ca Cu
1 1 2
direct
0.124 0.124 0.287 Cl
0.458 0.458 0.531 Ca
0.792 0.792 0.823 Cu
0.126 0.126 0.859 Cu
```

Results
N(E_F) = 1.0 states/eV/cell
calculated volume = 92 Å³/cell
symmetry = Cm


two) DFT (PBE-GGA) results for CaCu2Cl after structural relaxation.

```
CaCu2Cl
1.0
3.462 0.000 0.000
0.000 3.462 0.000
0.000 0.000 7.271
Cu Ca Cl
2 1 1
direct
0.000 0.000 0.133 Cu
0.500 0.500 0.191 Cu
0.000 0.000 0.496 Ca
0.500 0.500 0.681 Cl
```

Results
N(E_F) = 0.7 states/eV/cell
calculated volume = 87 Å³/cell
symmetry = P4mm


three) DFT (PBE-GGA) results for CaCu2Cl after structural relaxation.

```
CaCu2Cl
1.0
-7.243 -3.789 -1.153
0.287 -2.899 7.724
-4.702 -1.256 4.115
Cu Ca Cl
4 2 2
direct
0.600 0.125 0.250 Cu
0.375 0.400 0.750 Cu
0.150 0.625 0.250 Cu
0.875 0.850 0.750 Cu
0.000 0.000 0.000 Ca
0.750 0.250 0.500 Ca
0.500 0.500 0.000 Cl
0.250 0.750 0.500 Cl
```

Results
N(E_F) = 3.0 states/eV/cell
calculated volume = 174 Å³/cell
symmetry = I-42d


Which one is most stable, and which one is least stable? one) is the most stable of them, while three) is the least stable.


one) DFT (PBE-GGA) results for CaCu2Cl after structural relaxation.

```
CaCu2Cl
1.0
0.000 3.440 3.440
3.440 0.000 3.440
3.440 3.440 0.000
Ca Cl Cu
1 1 2
direct
0.500 0.500 0.500 Ca
0.000 0.000 0.000 Cl
0.750 0.750 0.750 Cu
0.250 0.250 0.250 Cu
```

Results
N(E_F) = 7.1 states/eV/cell
calculated volume = 81 Å³/cell
symmetry = Fm-3m


two) DFT (PBE-GGA) results for CaCu2Cl after structural relaxation.

```
CaCu2Cl
1.0
-3.245 3.217 -4.292
-2.183 -1.802 -5.594
0.453 -1.493 6.072
Cl Cu Ca
1 2 1
direct
0.750 0.250 0.500 Cl
0.500 0.500 0.000 Cu
0.000 0.000 0.000 Cu
0.250 0.750 0.500 Ca
```

Results
N(E_F) = 1.1 states/eV/cell
calculated volume = 80 Å³/cell
symmetry = Immm


Which one is most stable, and which one is least stable? two) is the most stable of them, while one) is the least stable.


one) DFT (PBE-GGA) results for CaCu2Cl after structural relaxation.

```
CaCu2Cl
1.0
-0.215 1.228 8.000
-0.387 -2.293 7.756
2.742 -0.661 7.589
Cu Cl Ca
2 1 1
direct
0.489 0.489 0.489 Cu
0.011 0.011 0.011 Cu
0.750 0.750 0.750 Cl
0.250 0.250 0.250 Ca
```

Results
N(E_F) = 2.7 states/eV/cell
calculated volume = 85 Å³/cell
symmetry = R-3m


two) DFT (PBE-GGA) results for CaCu2Cl after structural relaxation.

```
CaCu2Cl
1.0
-1.777 3.011 -0.341
-1.109 -0.278 3.331
5.751 3.631 2.097
Cu Ca Cl
2 1 1
direct
0.000 0.868 0.164 Cu
0.500 0.368 0.164 Cu
0.000 0.379 0.495 Ca
0.500 0.885 0.678 Cl
```

Results
N(E_F) = 0.9 states/eV/cell
calculated volume = 88 Å³/cell
symmetry = Pm


three) DFT (PBE-GGA) results for CaCu2Cl after structural relaxation.

```
CaCu2Cl
1.0
3.599 1.047 0.000
-1.046 3.599 0.000
0.000 0.000 5.665
Cu Cl Ca
2 1 1
direct
0.000 0.000 0.000 Cu
0.500 0.500 0.000 Cu
0.000 0.500 0.500 Cl
0.500 0.000 0.500 Ca
```

Results
N(E_F) = 0.7 states/eV/cell
calculated volume = 80 Å³/cell
symmetry = P4/mmm


Which one is most stable, and which one is least stable? two) is the most stable of them, while one) is the least stable.


one) DFT (PBE-GGA) results for CaCu2Cl4 after structural relaxation.

```
CaCu2Cl4
1.0
-1.606 -0.570 -5.819
-4.258 -1.202 4.147
1.459 5.837 0.758
Cu Cl Ca
2 4 1
direct
0.750 0.250 0.500 Cu
0.250 0.750 0.500 Cu
0.170 0.667 0.838 Cl
0.830 0.333 0.162 Cl
0.333 0.170 0.503 Cl
0.667 0.830 0.497 Cl
0.500 0.500 0.000 Ca
```

Results
calculated volume = 169 Å³/cell
symmetry = I4/m


two) DFT (PBE-GGA) results for CaCu2Cl4 after structural relaxation.

```
CaCu2Cl4
1.0
-2.042 1.157 3.206
-3.692 -5.109 -2.950
4.087 -3.547 3.889
Cl Ca Cu
4 1 2
direct
0.619 0.239 0.889 Cl
0.878 0.756 0.612 Cl
0.122 0.244 0.388 Cl
0.381 0.761 0.111 Cl
0.000 0.000 0.000 Ca
0.603 0.208 0.543 Cu
0.397 0.792 0.457 Cu
```

Results
N(E_F) = 0.0 states/eV/cell
calculated volume = 174 Å³/cell
symmetry = P-1


Which one is most stable, and which one is least stable? two) is the most stable of them, while one) is the least stable.


one) DFT (PBE-GGA) results for CaCuCl3 after structural relaxation.

```
CaCuCl3
1.0
-2.468 -0.163 4.684
0.176 -5.294 -0.091
4.684 0.113 2.472
Cl Ca Cu
3 1 1
direct
0.500 0.000 0.000 Cl
0.000 0.000 0.500 Cl
0.000 0.500 0.000 Cl
0.000 0.000 0.000 Ca
0.500 0.500 0.500 Cu
```

Results
N(E_F) = 0.0 states/eV/cell
calculated volume = 149 Å³/cell
symmetry = Pm-3m


two) DFT (PBE-GGA) results for CaCuCl3 after structural relaxation.

```
CaCuCl3
1.0
-0.678 -6.096 -2.372
5.996 1.170 -4.722
6.455 -3.564 7.314
Cl Ca Cu
12 4 4
direct
0.663 0.688 0.572 Cl
0.163 0.812 0.428 Cl
0.837 0.188 0.572 Cl
0.663 0.688 0.928 Cl
0.340 0.023 0.750 Cl
0.660 0.977 0.250 Cl
0.337 0.312 0.428 Cl
0.160 0.523 0.750 Cl
0.163 0.812 0.072 Cl
0.837 0.188 0.928 Cl
0.337 0.312 0.072 Cl
0.840 0.477 0.250 Cl
0.000 0.500 0.500 Ca
0.500 0.000 0.500 Ca
0.000 0.500 0.000 Ca
0.500 0.000 0.000 Ca
0.472 0.633 0.750 Cu
0.028 0.133 0.750 Cu
0.528 0.367 0.250 Cu
0.972 0.867 0.250 Cu
```

Results
N(E_F) = 0.0 states/eV/cell
calculated volume = 527 Å³/cell
symmetry = Pnma


Which one is most stable, and which one is least stable? two) is the most stable of them, while one) is the least stable.


one) DFT (PBE-GGA) results for CaCu3Cl after structural relaxation.

```
CaCu3Cl
1.0
-0.118 -3.900 -3.559
-1.991 -3.265 3.643
-4.891 1.423 -1.397
Cu Ca Cl
3 1 1
direct
0.500 0.000 0.000 Cu
0.000 0.000 0.500 Cu
0.000 0.500 0.000 Cu
0.000 0.000 0.000 Ca
0.500 0.500 0.500 Cl
```

Results
N(E_F) = 6.9 states/eV/cell
calculated volume = 147 Å³/cell
symmetry = Pm-3m


two) DFT (PBE-GGA) results for CaCu3Cl after structural relaxation.

```
CaCu3Cl
1.0
4.708 0.000 0.000
0.000 4.708 0.000
0.000 0.000 4.708
Cl Cu Ca
1 3 1
direct
0.000 0.000 0.000 Cl
0.000 0.000 0.500 Cu
0.500 0.000 0.000 Cu
0.000 0.500 0.000 Cu
0.500 0.500 0.500 Ca
```

Results
N(E_F) = 4.1 states/eV/cell
calculated volume = 104 Å³/cell
symmetry = Pm-3m


Which one is most stable, and which one is least stable? two) is the most stable of them, while one) is the least stable.